[1]
Computed, not measured: a geometry-optimized PaBRu2 structure at the PBE-GGA level of DFT.

abc: 2.900 2.900 6.858
angles: 90.00 90.00 90.00
Atoms (fractional coordinates):
Ru 0.000 0.000 0.816
Ru 0.000 0.000 0.184
B 0.500 0.500 0.000
Pa 0.500 0.500 0.500

## Properties
ΔH_f (0 K) ... 16 meV/atom
E_tot ... -8.67 eV per atom
Mass density ... 12.78 g/cm3
D(E_F) ... 0.9868 states/eV per atom
Energy above the most stable polymorph in this dataset ... 386 meV/atom
Calculated volume ... 14.4 Å³ per atom


[2]
Computed, not measured: a geometry-optimized Rb3BaC structure at the PBE-GGA level of DFT.

abc: 8.389 8.389 8.389
angles: 90.00 90.00 90.00
Last column: magnetic moment on the atom in μB.
Atoms (fractional coordinates):
C 0.500 0.500 0.500  0.01
Ba 0.000 0.000 0.000  0.19
Rb 0.000 0.500 0.000  0.02
Rb 0.000 0.000 0.500  0.02
Rb 0.500 0.000 0.000  0.01

## Properties
ΔH_f (0 K) ... 2039 meV/atom
E_tot ... -0.77 eV per atom
Mass density ... 1.14 g/cm3
D(E_F) ... 3.3273 states/eV per atom
Energy above the most stable polymorph in this dataset ... 1017 meV/atom
Calculated volume ... 118.1 Å³ per atom


[3]
Computed, not measured: a geometry-optimized Ga2GePb structure at the PBE-GGA level of DFT.

abc: 3.490 3.490 7.325
angles: 90.00 90.00 90.00
Atoms (fractional coordinates):
Pb 0.500 0.500 0.500
Ge 0.500 0.500 0.000
Ga 0.000 0.000 0.796
Ga 0.000 0.000 0.204

## Properties
ΔH_f (0 K) ... 106 meV/atom
E_tot ... -3.49 eV per atom
Mass density ... 7.81 g/cm3
D(E_F) ... 0.3342 states/eV per atom
Energy above the most stable polymorph in this dataset ... 0 meV/atom
Calculated volume ... 22.3 Å³ per atom


[4]
Computed, not measured: a geometry-optimized BaTiIr2 structure at the PBE-GGA level of DFT.

abc: 4.853 4.853 4.853
angles: 60.00 60.00 60.00
Atoms (fractional coordinates):
Ir 0.250 0.250 0.250
Ir 0.750 0.750 0.750
Ba 0.500 0.500 0.500
Ti 0.000 0.000 0.000

## Properties
ΔH_f (0 K) ... 369 meV/atom
E_tot ... -6.52 eV per atom
Mass density ... 11.70 g/cm3
D(E_F) ... 0.6302 states/eV per atom
Energy above the most stable polymorph in this dataset ... 218 meV/atom
Calculated volume ... 20.2 Å³ per atom


[5]
Computed, not measured: a geometry-optimized Y3SeS3 structure at the PBE-GGA level of DFT.

abc: 8.342 8.342 7.343
angles: 55.39 55.39 60.00
Atoms (fractional coordinates):
Y 0.282 0.553 0.240
Y 0.925 0.282 0.240
Y 0.553 0.925 0.240
Y 0.447 0.075 0.760
Y 0.075 0.718 0.760
Y 0.718 0.447 0.760
Se 0.332 0.332 0.005
Se 0.668 0.668 0.995
S 0.372 0.801 0.730
S 0.801 0.097 0.730
S 0.097 0.372 0.730
S 0.903 0.628 0.270
S 0.199 0.903 0.270
S 0.628 0.199 0.270

## Properties
Uncorrected formation energy ... -1.952 eV per atom
E_tot ... -6.99 eV per atom
Mass density ... 4.39 g/cm3
D(E_F) ... 0.3399 states/eV per atom
Energy above the most stable polymorph in this dataset ... 48 meV/atom
Calculated volume ... 23.9 Å³ per atom


[6]
Computed, not measured: a geometry-optimized SiSb2 structure at the PBE-GGA level of DFT.

abc: 3.591 3.591 7.522
angles: 90.00 90.00 120.00
Atoms (fractional coordinates):
Sb 0.667 0.333 0.760
Sb 0.333 0.667 0.240
Si 0.000 0.000 0.000

## Properties
Uncorrected formation energy ... 0.344 eV per atom
E_tot ... -4.21 eV per atom
Mass density ... 5.37 g/cm3
D(E_F) ... 0.5652 states/eV per atom
Energy above the most stable polymorph in this dataset ... 163 meV/atom
Calculated volume ... 28.0 Å³ per atom


[7]
Computed, not measured: a geometry-optimized YRe2Si structure at the PBE-GGA level of DFT.

abc: 4.396 4.396 3.436
angles: 90.00 90.00 90.00
Atoms (fractional coordinates):
Re 0.000 0.000 0.000
Re 0.500 0.500 0.000
Si 0.500 0.000 0.500
Y 0.000 0.500 0.500

## Properties
Uncorrected formation energy ... 0.378 eV per atom
E_tot ... -8.82 eV per atom
Mass density ... 12.24 g/cm3
D(E_F) ... 1.2651 states/eV per atom
Calculated volume ... 16.6 Å³ per atom


[8]
Computed, not measured: a geometry-optimized Zr2SbMo structure at the PBE-GGA level of DFT.

abc: 3.159 3.159 8.984
angles: 90.00 90.00 109.48
Atoms (fractional coordinates):
Mo 0.000 0.000 0.503
Sb 0.500 0.500 0.734
Zr 0.000 0.000 0.991
Zr 0.500 0.500 0.272

## Properties
Uncorrected formation energy ... 0.057 eV per atom
E_tot ... -7.96 eV per atom
Mass density ... 7.86 g/cm3
D(E_F) ... 1.0888 states/eV per atom
Calculated volume ... 21.1 Å³ per atom


[9]
Computed, not measured: a geometry-optimized Cs3TlO3 structure at the PBE-GGA level of DFT.

abc: 6.362 9.018 9.018
angles: 119.85 90.00 90.00
Atoms (fractional coordinates):
Cs 0.250 0.650 0.825
Cs 0.250 0.174 0.350
Cs 0.250 0.175 0.826
Cs 0.750 0.350 0.175
Cs 0.750 0.826 0.650
Cs 0.750 0.825 0.174
Tl 0.750 0.333 0.667
Tl 0.250 0.667 0.333
O 0.750 0.604 0.802
O 0.750 0.197 0.396
O 0.750 0.198 0.803
O 0.250 0.396 0.198
O 0.250 0.803 0.604
O 0.250 0.802 0.197

## Properties
Uncorrected formation energy ... -0.988 eV per atom
E_tot ... -3.82 eV per atom
Mass density ... 4.82 g/cm3
Energy above the most stable polymorph in this dataset ... 88 meV/atom
Calculated volume ... 32.1 Å³ per atom


[10]
Computed, not measured: a geometry-optimized V2FeSn structure at the PBE-GGA level of DFT.

abc: 5.507 5.507 4.368
angles: 90.00 90.00 115.74
Last column: magnetic moment on the atom in μB.
Atoms (fractional coordinates):
V 0.874 0.126 0.000  -0.16
V 0.141 0.320 0.500  0.29
V 0.680 0.859 0.500  0.29
V 0.131 0.869 0.500  -0.27
Fe 0.857 0.679 0.000  2.01
Fe 0.321 0.143 0.000  2.01
Sn 0.341 0.659 0.000  -0.02
Sn 0.655 0.345 0.500  -0.02

## Properties
ΔH_f (0 K) ... -22 meV/atom
E_tot ... -7.70 eV per atom
Mass density ... 7.69 g/cm3
D(E_F) ... 0.9200 states/eV per atom
Calculated volume ... 14.9 Å³ per atom


[11]
Computed, not measured: a geometry-optimized La4Er10Tm structure at the PBE-GGA level of DFT.

abc: 10.589 8.714 8.714
angles: 68.33 52.58 52.58
Atoms (fractional coordinates):
La 0.336 0.732 0.597
La 0.932 0.403 0.732
La 0.068 0.597 0.268
La 0.664 0.268 0.403
Er 0.250 0.500 0.500
Er 0.549 0.322 0.903
Er 0.129 0.097 0.322
Er 0.548 0.903 0.678
Er 0.774 0.678 0.097
Er 0.451 0.678 0.097
Er 0.750 0.500 0.500
Er 0.226 0.322 0.903
Er 0.452 0.097 0.322
Er 0.871 0.903 0.678
Tm 0.000 0.000 0.000

## Properties
ΔH_f (0 K) ... 377 meV/atom
E_tot ... -4.28 eV per atom
Mass density ... 7.85 g/cm3
D(E_F) ... 1.5871 states/eV per atom
Calculated volume ... 33.8 Å³ per atom


[12]
Computed, not measured: a geometry-optimized PaSbPb structure at the PBE-GGA level of DFT.

abc: 3.913 3.913 6.047
angles: 108.88 108.88 90.00
Atoms (fractional coordinates):
Pb 0.005 0.005 0.010
Sb 0.676 0.676 0.352
Pa 0.319 0.319 0.638

## Properties
Uncorrected formation energy ... -0.056 eV per atom
E_tot ... -5.83 eV per atom
Mass density ... 11.30 g/cm3
D(E_F) ... 1.9709 states/eV per atom
Energy above the most stable polymorph in this dataset ... 225 meV/atom
Calculated volume ... 27.4 Å³ per atom


[13]
Computed, not measured: a geometry-optimized Ce2NpMnS5 structure at the PBE-GGA level of DFT.

abc: 3.918 8.412 11.833
angles: 90.00 90.00 103.47
Last column: magnetic moment on the atom in μB.
Atoms (fractional coordinates):
Ce 0.877 0.754 0.843  0.93
Ce 0.121 0.242 0.694  0.83
Ce 0.123 0.246 0.343  0.93
Ce 0.879 0.758 0.194  0.83
Np 0.815 0.631 0.522  3.65
Np 0.185 0.369 0.022  3.65
Mn 0.548 0.096 0.929  3.09
Mn 0.452 0.904 0.429  3.09
S 0.349 0.699 0.017  -0.04
S 0.685 0.370 0.862  -0.05
S 0.495 0.989 0.754  0.00
S 0.304 0.607 0.683  -0.07
S 0.982 0.965 0.519  -0.03
S 0.651 0.301 0.517  -0.04
S 0.315 0.630 0.362  -0.05
S 0.505 0.011 0.254  0.00
S 0.696 0.393 0.183  -0.07
S 0.018 0.035 0.019  -0.03

## Properties
Uncorrected formation energy ... -1.502 eV per atom
E_tot ... -7.57 eV per atom
Mass density ... 6.41 g/cm3
D(E_F) ... 2.3883 states/eV per atom
Calculated volume ... 21.1 Å³ per atom


[14]
Computed, not measured: a geometry-optimized Mg3NbFe structure at the PBE-GGA level of DFT.

abc: 5.200 5.200 5.200
angles: 90.00 90.00 90.00
Last column: magnetic moment on the atom in μB.
Atoms (fractional coordinates):
Mg 0.000 0.500 0.000  0.00
Mg 0.000 0.000 0.500  0.00
Mg 0.500 0.000 0.000  -0.01
Nb 0.000 0.000 0.000  0.00
Fe 0.500 0.500 0.500  -0.23

## Properties
ΔH_f (0 K) ... 2021 meV/atom
E_tot ... -2.64 eV per atom
Mass density ... 2.62 g/cm3
D(E_F) ... 4.1671 states/eV per atom
Energy above the most stable polymorph in this dataset ... 1021 meV/atom
Calculated volume ... 28.1 Å³ per atom


[15]
Computed, not measured: a geometry-optimized TlSb6Se8 structure at the PBE-GGA level of DFT.

abc: 7.946 7.946 7.946
angles: 81.13 81.13 81.13
Atoms (fractional coordinates):
Tl 0.000 0.000 0.000
Sb 0.618 0.381 0.789
Sb 0.381 0.789 0.618
Sb 0.789 0.618 0.381
Sb 0.382 0.619 0.211
Sb 0.619 0.211 0.382
Sb 0.211 0.382 0.619
Se 0.709 0.709 0.709
Se 0.291 0.291 0.291
Se 0.618 0.905 0.237
Se 0.905 0.237 0.618
Se 0.237 0.618 0.905
Se 0.382 0.095 0.763
Se 0.095 0.763 0.382
Se 0.763 0.382 0.095

## Properties
Uncorrected formation energy ... -0.109 eV per atom
E_tot ... -3.77 eV per atom
Mass density ... 5.36 g/cm3
D(E_F) ... 0.3677 states/eV per atom
Calculated volume ... 32.4 Å³ per atom


[16]
Computed, not measured: a geometry-optimized Ca2MoCl8 structure at the PBE-GGA level of DFT.

abc: 6.345 6.894 7.832
angles: 89.20 113.90 90.00
Last column: magnetic moment on the atom in μB.
Atoms (fractional coordinates):
Ca 0.137 0.463 0.274  0.01
Ca 0.863 0.537 0.726  0.01
Mo 0.000 0.000 0.000  1.68
Cl 0.727 0.258 0.951  0.01
Cl 0.224 0.258 0.951  0.01
Cl 0.273 0.742 0.049  0.01
Cl 0.691 0.422 0.383  0.00
Cl 0.776 0.742 0.049  0.01
Cl 0.164 0.064 0.327  0.00
Cl 0.836 0.936 0.673  0.00
Cl 0.309 0.578 0.617  0.00

## Properties
Uncorrected formation energy ... -1.577 eV per atom
E_tot ... -4.27 eV per atom
Mass density ... 2.44 g/cm3
D(E_F) ... 0.7578 states/eV per atom
Calculated volume ... 28.5 Å³ per atom


[17]
Computed, not measured: a geometry-optimized V2PdC structure at the PBE-GGA level of DFT.

abc: 2.903 2.903 6.802
angles: 77.68 77.68 60.00
Atoms (fractional coordinates):
C 0.000 0.000 0.000
Pd 0.500 0.500 0.500
V 0.277 0.277 0.168
V 0.723 0.723 0.832

## Properties
ΔH_f (0 K) ... -425 meV/atom
E_tot ... -8.59 eV per atom
Mass density ... 7.60 g/cm3
D(E_F) ... 0.9924 states/eV per atom
Calculated volume ... 12.0 Å³ per atom


[18]
Computed, not measured: a geometry-optimized Cu2RePt structure at the PBE-GGA level of DFT.

abc: 4.662 4.662 4.689
angles: 82.44 82.44 33.31
Atoms (fractional coordinates):
Cu 0.998 0.998 0.981
Cu 0.750 0.750 0.773
Pt 0.502 0.502 0.478
Re 0.250 0.250 0.268

## Properties
ΔH_f (0 K) ... 101 meV/atom
E_tot ... -6.57 eV per atom
Mass density ... 15.23 g/cm3
D(E_F) ... 0.6888 states/eV per atom
Energy above the most stable polymorph in this dataset ... 76 meV/atom
Calculated volume ... 13.9 Å³ per atom


[19]
Computed, not measured: a geometry-optimized Cd2Br3F structure at the PBE-GGA level of DFT.

abc: 3.950 9.316 11.122
angles: 96.74 79.77 77.76
Atoms (fractional coordinates):
Cd 0.880 0.340 0.899
Cd 0.120 0.660 0.101
Cd 0.626 0.099 0.648
Cd 0.374 0.901 0.352
Br 0.075 0.036 0.814
Br 0.925 0.964 0.186
Br 0.721 0.645 0.913
Br 0.279 0.355 0.087
Br 0.841 0.812 0.506
Br 0.159 0.188 0.494
F 0.449 0.322 0.779
F 0.551 0.678 0.221

## Properties
Uncorrected formation energy ... -1.183 eV per atom
E_tot ... -2.64 eV per atom
Mass density ... 4.13 g/cm3
D(E_F) ... 0.0000 states/eV per atom
Energy above the most stable polymorph in this dataset ... 0 meV/atom
Calculated volume ... 32.4 Å³ per atom


[20]
Computed, not measured: a geometry-optimized Sc2CdOs structure at the PBE-GGA level of DFT.

abc: 5.750 5.750 4.679
angles: 67.94 67.94 33.71
Atoms (fractional coordinates):
Cd 0.528 0.528 0.484
Os 0.255 0.255 0.231
Sc 0.963 0.963 0.045
Sc 0.754 0.754 0.740

## Properties
ΔH_f (0 K) ... -163 meV/atom
E_tot ... -6.37 eV per atom
Mass density ... 8.26 g/cm3
D(E_F) ... 0.7984 states/eV per atom
Calculated volume ... 19.7 Å³ per atom